The following is a DFT calculation (PBE-GGA) of a relaxed structure of KTc2IrW.

Computed properties:
**Formation energy from the elements**: 1.8296 eV/atom
**Spin magnetization**: 0.376 μB/atom
**Total energy**: -6.8991 eV per atom

Cell: 4.8730 4.8730 4.8451 Å, 90.00 90.00 90.00°
Fractional positions:
K: 0.0000 0.0000 0.0000
Tc: 0.0000 0.5000 0.5000
Tc: 0.5000 0.0000 0.5000
Ir: 0.5000 0.5000 0.5000
W: 0.5000 0.5000 0.0000

***

The following is a DFT calculation (PBE-GGA) of a relaxed structure of K2TeIr.

Computed properties:
**Formation energy (no corrections)**: 277 meV/atom
**Spin magnetization**: 0.021 μB/atom
**Total energy**: -3.2722 eV per atom

Cell: 6.0048 6.0048 3.3655 Å, 90.00 90.00 122.55°
Fractional positions:
K: 0.0000 0.5000 0.0000
K: 0.5000 0.0000 0.0000
Te: 0.0000 0.0000 0.5000
Ir: 0.5000 0.5000 0.5000

***

The following is a DFT calculation (PBE-GGA) of a relaxed structure of KTe2Ir.

Computed properties:
**Formation energy (no corrections)**: -111 meV/atom
**Spin magnetization**: 0.000 μB/atom
**Total energy**: -4.1719 eV per atom

Cell: 8.7144 8.7144 8.7144 Å, 155.66 155.65 34.69°
Fractional positions:
K: 0.0000 0.0000 0.0000
Te: 0.6416 0.6416 0.0000
Te: 0.8225 0.3225 0.5000
Ir: 0.2563 0.7563 0.5000